An optimized crystal structure of ScH6Ru, computed with PBE. Values from VASP.

Quantum ESPRESSO input file:
```
&SYSTEM
  ibrav = 0, nat = 8, ntyp = 3
/
ATOMIC_SPECIES
Sc 44.96 Sc.upf
H 1.01 H.upf
Ru 101.07 Ru.upf
ATOMIC_POSITIONS crystal
Sc 0.500 0.500 0.000
H 0.634 0.826 0.347
H 0.794 0.127 0.746
H 0.015 0.609 0.782
H 0.206 0.873 0.254
H 0.366 0.174 0.653
H 0.985 0.391 0.218
Ru 0.000 0.000 0.000
CELL_PARAMETERS angstrom
-2.129 4.240 -1.193
-0.683 -1.158 -2.895
-4.281 -0.298 -0.628
```

Output
* E_tot: -0.3396 Ry per atom
* D(E_F): 1.980 states/eV per cell
* magnetic moment: 0.000 μB/f.u.

***

An optimized crystal structure of Sn2SbPtBr, computed with PBE. Values from VASP.

Quantum ESPRESSO input file:
```
&SYSTEM
  ibrav = 0, nat = 5, ntyp = 4
/
ATOMIC_SPECIES
Sb 121.76 Sb.upf
Br 79.90 Br.upf
Sn 118.71 Sn.upf
Pt 195.08 Pt.upf
ATOMIC_POSITIONS crystal
Sb 0.000 0.000 0.000
Br 0.500 0.500 0.500
Sn 0.000 0.000 0.500
Sn 0.500 0.000 0.000
Pt 0.000 0.500 0.000
CELL_PARAMETERS angstrom
-1.556 -2.495 -5.140
0.200 -4.442 2.095
-5.709 0.454 1.508
```

Output
* E_form (uncorrected): 362 meV/atom
* E_tot: -0.2651 Ry per atom
* D(E_F): 1.626 states/eV per cell
* magnetic moment: 0.000 μB/f.u.

***

An optimized crystal structure of Tl3ZnRu, computed with PBE. Values from VASP.

Quantum ESPRESSO input file:
```
&SYSTEM
  ibrav = 0, nat = 5, ntyp = 3
/
ATOMIC_SPECIES
Ru 101.07 Ru.upf
Tl 204.38 Tl.upf
Zn 65.41 Zn.upf
ATOMIC_POSITIONS crystal
Ru 0.500 0.500 0.500
Tl 0.000 0.500 0.000
Tl 0.000 0.000 0.500
Tl 0.500 0.000 0.000
Zn 0.000 0.000 0.000
CELL_PARAMETERS angstrom
5.220 0.000 0.000
0.000 5.220 0.000
0.000 0.000 5.220
```

Output
* E_tot: -0.1808 Ry per atom
* ΔE to the lowest computed polymorph: 739 meV per atom
* formation energy: 1.07 eV/atom
* D(E_F): 6.500 states/eV per cell
* magnetic moment: 2.467 μB/f.u.

***

Short version: density = 4455, 6110, 9103 kg/m³, in the order given.